First-principles (PBE-GGA) data for LaYAlIr2 after structural relaxation, as listed in OQMD via LeMat-Bulk.

Lattice parameters (Å, degrees): 4.163 5.879 8.777 90.00 90.00 90.00
Space group Imm2 (No. 44)
Unique sites:
La 0.000 0.000 0.000 [2 per cell]
Y 0.000 0.000 0.602 [2 per cell]
Al 0.000 0.500 0.801 [2 per cell]
Ir 0.000 0.257 0.300 [4 per cell]

V   214.8 Å³/cell
Energy   -7.424 eV/atom